1.
The following is a DFT calculation (GGA-PBE) of a relaxed Sr2GeAu crystal.

Computed properties:
* E_tot: -3.433 eV/atom

The structure in POSCAR format:
```
Sr2GeAu
1.0
4.609 0.000 0.000
0.000 2.373 5.540
0.000 -2.373 5.540
Sr Ge Au
2 1 1
Direct
0.000 0.000 0.000
0.500 0.283 0.283
0.500 0.581 0.581
0.000 0.703 0.703
```

=====

2.
The following is a DFT calculation (GGA-PBE) of a relaxed Zn2MoRh3 crystal.

Computed properties:
* E_tot: -6.230 eV/atom

The structure in POSCAR format:
```
Zn2MoRh3
1.0
2.872 0.000 0.000
0.000 2.872 0.000
0.000 0.000 10.316
Zn Mo Rh
2 1 3
Direct
0.000 0.000 0.159
0.000 0.000 0.841
0.000 0.000 0.500
0.500 0.500 0.000
0.500 0.500 0.326
0.500 0.500 0.674
```

=====

3.
The following is a DFT calculation (GGA-PBE) of a relaxed Pr2HoSe2O2 crystal.

Computed properties:
* ΔE_f (raw): -2.41 eV per atom

The structure in POSCAR format:
```
Pr2HoSe2O2
1.0
-2.163 2.163 7.859
2.163 -2.163 7.859
2.163 2.163 -7.859
Pr Ho Se O
2 1 2 2
Direct
0.127 0.127 0.000
0.873 0.873 0.000
0.500 0.500 0.000
0.321 0.321 0.000
0.679 0.679 0.000
0.000 0.500 0.500
0.500 0.000 0.500
```

=====

4.
The following is a DFT calculation (GGA-PBE) of a relaxed CrInTe4 crystal.

Computed properties:
* energy relative to the lowest polymorph listed for this composition: 0 meV/atom
* ΔE_f (raw): -0.14 eV per atom

The structure in POSCAR format:
```
CrInTe4
1.0
6.806 -1.997 0.000
6.806 1.997 0.000
-3.831 0.000 6.367
Cr In Te
1 1 4
Direct
0.000 0.000 0.000
0.500 0.500 0.500
0.141 0.141 0.843
0.373 0.373 0.728
0.627 0.627 0.272
0.859 0.859 0.157
```

=====

5.
The following is a DFT calculation (GGA-PBE) of a relaxed Pu3MnGe crystal.

Computed properties:
* energy relative to the lowest polymorph listed for this composition: 168 meV/atom

The structure in POSCAR format:
```
Pu3MnGe
1.0
7.386 -4.767 0.000
7.386 4.767 0.000
-1.708 0.000 5.298
Pu Mn Ge
12 4 4
Direct
0.065 0.708 0.617
0.183 0.515 0.943
0.235 0.424 0.349
0.292 0.935 0.883
0.424 0.235 0.849
0.485 0.817 0.557
0.515 0.183 0.443
0.576 0.765 0.151
0.708 0.065 0.117
0.765 0.576 0.651
0.817 0.485 0.057
0.935 0.292 0.383
0.130 0.196 0.922
0.196 0.130 0.422
0.804 0.870 0.578
0.870 0.804 0.078
0.117 0.883 0.250
0.462 0.538 0.750
0.538 0.462 0.250
0.883 0.117 0.750
```

=====

6.
The following is a DFT calculation (GGA-PBE) of a relaxed Ca2BiPbAu4 crystal.

Computed properties:
* E_tot: -3.610 eV/atom

The structure in POSCAR format:
```
Ca2BiPbAu4
1.0
2.550 1.472 8.366
-2.550 1.472 8.366
0.000 -2.944 8.366
Ca Bi Pb Au
2 1 1 4
Direct
0.249 0.249 0.249
0.751 0.751 0.751
0.500 0.500 0.500
0.000 0.000 0.000
0.123 0.123 0.123
0.372 0.372 0.372
0.628 0.628 0.628
0.877 0.877 0.877
```

=====

7.
The following is a DFT calculation (GGA-PBE) of a relaxed Fe2Co2Pd crystal.

Computed properties:
* energy relative to the lowest polymorph listed for this composition: 3 meV/atom

The structure in POSCAR format:
```
Fe2Co2Pd
1.0
2.181 -3.078 0.000
2.181 3.078 0.000
0.000 0.000 5.082
Fe Co Pd
2 2 1
Direct
0.000 0.000 0.249
0.000 0.000 0.751
0.321 0.679 0.000
0.679 0.321 0.000
0.500 0.500 0.500
```

=====

8.
The following is a DFT calculation (GGA-PBE) of a relaxed Ca2Si3Pt4Au crystal.

Computed properties:
* ΔE_f (raw): -0.82 eV per atom

The structure in POSCAR format:
```
Ca2Si3Pt4Au
1.0
4.188 0.000 0.000
0.000 4.188 0.000
0.000 0.000 10.578
Ca Si Pt Au
2 3 4 1
Direct
0.000 0.500 0.245
0.500 0.000 0.755
0.000 0.000 0.000
0.000 0.500 0.623
0.500 0.000 0.377
0.000 0.000 0.500
0.000 0.500 0.841
0.500 0.000 0.159
0.500 0.500 0.500
0.500 0.500 0.000
```

=====

9.
The following is a DFT calculation (GGA-PBE) of a relaxed CaGeP2Ru crystal.

Computed properties:
* E_tot: -3.762 eV/atom

The structure in POSCAR format:
```
CaGeP2Ru
1.0
5.059 0.000 0.000
0.000 5.059 0.000
0.000 0.000 4.855
Ca Ge P Ru
1 1 2 1
Direct
0.000 0.000 0.000
0.500 0.500 0.500
0.000 0.500 0.000
0.500 0.000 0.000
0.000 0.000 0.500
```

=====

10.
The following is a DFT calculation (GGA-PBE) of a relaxed Nb3Fe crystal.

Computed properties:
* E_tot: -9.648 eV/atom

The structure in POSCAR format:
```
Nb3Fe
1.0
-1.614 2.280 4.473
1.614 -2.280 4.473
1.614 2.280 -4.473
Nb Fe
3 1
Direct
0.000 0.000 0.000
0.259 0.759 0.500
0.741 0.241 0.500
0.500 0.500 0.000
```